[1]
# PBE CaThRh, optimized geometry
# - ΔE to the lowest computed polymorph: 0.00 kJ per mole of atoms
# - Energy of formation from the pure elements: -0.4421 eV per atom
# - Energy: -6.03 eV per atom
data_CaThRh
_cell_length_a 7.4779
_cell_length_b 7.4779
_cell_length_c 4.8777
_cell_angle_alpha 90.00
_cell_angle_beta 90.00
_cell_angle_gamma 120.00
_symmetry_space_group_name_H-M 'P -6 2 m'
_symmetry_Int_Tables_number 189
_symmetry_space_group_name_Hall 'P -6 -2'
loop_
_atom_site_label
_atom_site_type_symbol
_atom_site_fract_x
_atom_site_fract_y
_atom_site_fract_z
Ca1 Ca 0.0000 0.5870 0.0000
Th1 Th 0.0000 0.2619 0.5000
Rh1 Rh 0.0000 0.0000 0.0000
Rh2 Rh 0.3333 0.6667 0.5000

[2]
# PBE Ca2ThRh3, optimized geometry
# - Energy of formation from the pure elements: -0.6085 eV per atom
# - Energy: -6.19 eV per atom
data_Ca2ThRh3
_cell_length_a 5.020
_cell_length_b 14.962
_cell_length_c 6.813
_cell_angle_alpha 90.00
_cell_angle_beta 90.00
_cell_angle_gamma 90.00
_symmetry_space_group_name_H-M 'C m m m'
_symmetry_Int_Tables_number 65
_symmetry_space_group_name_Hall '-C 2 2'
loop_
_atom_site_label
_atom_site_type_symbol
_atom_site_fract_x
_atom_site_fract_y
_atom_site_fract_z
Ca1 Ca 0.000 0.000 0.000
Ca2 Ca 0.000 0.000 0.500
Ca3 Ca 0.000 0.334 0.000
Th1 Th 0.000 0.339 0.500
Rh1 Rh 0.000 0.174 0.275
Rh2 Rh 0.000 0.500 0.268

[3]
# PBE CaThRh, optimized geometry
# - ΔE to the lowest computed polymorph: 2.35 kJ per mole of atoms
# - Energy of formation from the pure elements: -0.4178 eV per atom
# - Energy: -6.01 eV per atom
data_CaThRh
_cell_length_a 3.576
_cell_length_b 3.576
_cell_length_c 13.088
_cell_angle_alpha 90.00
_cell_angle_beta 90.00
_cell_angle_gamma 90.00
_symmetry_space_group_name_H-M 'I 4 m m'
_symmetry_Int_Tables_number 107
_symmetry_space_group_name_Hall 'I 4 -2'
loop_
_atom_site_label
_atom_site_type_symbol
_atom_site_fract_x
_atom_site_fract_y
_atom_site_fract_z
Ca1 Ca 0.000 0.000 0.000
Th1 Th 0.000 0.000 0.261
Rh1 Rh 0.000 0.000 0.654

[4]
# PBE Ca5ThRh6, optimized geometry
# - Energy of formation from the pure elements: -0.4881 eV per atom
# - Energy: -5.62 eV per atom
data_Ca5ThRh6
_cell_length_a 4.894
_cell_length_b 14.549
_cell_length_c 6.931
_cell_angle_alpha 90.00
_cell_angle_beta 90.00
_cell_angle_gamma 90.00
_symmetry_space_group_name_H-M 'C m m m'
_symmetry_Int_Tables_number 65
_symmetry_space_group_name_Hall '-C 2 2'
loop_
_atom_site_label
_atom_site_type_symbol
_atom_site_fract_x
_atom_site_fract_y
_atom_site_fract_z
Ca1 Ca 0.000 0.000 0.000
Ca2 Ca 0.000 0.326 0.500
Ca3 Ca 0.000 0.333 0.000
Th1 Th 0.000 0.000 0.500
Rh1 Rh 0.000 0.157 0.260
Rh2 Rh 0.000 0.500 0.267

[5]
# PBE CaThTlRh, optimized geometry
# - Energy of formation from the pure elements: -0.3027 eV per atom
# - Energy: -5.09 eV per atom
data_CaThTlRh
_cell_length_a 7.400
_cell_length_b 7.400
_cell_length_c 7.400
_cell_angle_alpha 90.00
_cell_angle_beta 90.00
_cell_angle_gamma 90.00
_symmetry_space_group_name_H-M 'F -4 3 m'
_symmetry_Int_Tables_number 216
_symmetry_space_group_name_Hall 'F -4 2 3'
loop_
_atom_site_label
_atom_site_type_symbol
_atom_site_fract_x
_atom_site_fract_y
_atom_site_fract_z
Ca1 Ca 0.000 0.000 0.000
Th1 Th 0.000 0.000 0.500
Tl1 Tl 0.250 0.250 0.250
Rh1 Rh 0.250 0.250 0.750

[6]
# PBE Ca2TiRh, optimized geometry
# - ΔE to the lowest computed polymorph: 19.65 kJ per mole of atoms
# - Energy of formation from the pure elements: 0.3871 eV per atom
# - Energy: -4.43 eV per atom
data_Ca2TiRh
_cell_length_a 7.132
_cell_length_b 7.132
_cell_length_c 7.132
_cell_angle_alpha 90.00
_cell_angle_beta 90.00
_cell_angle_gamma 90.00
_symmetry_space_group_name_H-M 'F m -3 m'
_symmetry_Int_Tables_number 225
_symmetry_space_group_name_Hall '-F 4 2 3'
loop_
_atom_site_label
_atom_site_type_symbol
_atom_site_fract_x
_atom_site_fract_y
_atom_site_fract_z
Ca1 Ca 0.250 0.250 0.250
Ti1 Ti 0.000 0.000 0.000
Rh1 Rh 0.000 0.000 0.500

[7]
# PBE CaTi2Rh, optimized geometry
# - ΔE to the lowest computed polymorph: 0.00 kJ per mole of atoms
# - Energy of formation from the pure elements: 0.0976 eV per atom
# - Energy: -6.19 eV per atom
data_CaTi2Rh
_cell_length_a 7.617
_cell_length_b 7.617
_cell_length_c 5.812
_cell_angle_alpha 90.00
_cell_angle_beta 90.00
_cell_angle_gamma 90.00
_symmetry_space_group_name_H-M 'I -4 2 d'
_symmetry_Int_Tables_number 122
_symmetry_space_group_name_Hall 'I -4 2bw'
loop_
_atom_site_label
_atom_site_type_symbol
_atom_site_fract_x
_atom_site_fract_y
_atom_site_fract_z
Ca1 Ca 0.000 0.000 0.000
Ti1 Ti 0.183 0.250 0.625
Rh1 Rh 0.000 0.000 0.500

[8]
# PBE CaTi2Rh3, optimized geometry
# - Energy of formation from the pure elements: -0.6999 eV per atom
# - Energy: -7.34 eV per atom
data_CaTi2Rh3
_cell_length_a 3.106
_cell_length_b 3.106
_cell_length_c 10.442
_cell_angle_alpha 90.00
_cell_angle_beta 90.00
_cell_angle_gamma 90.00
_symmetry_space_group_name_H-M 'P 4/m m m'
_symmetry_Int_Tables_number 123
_symmetry_space_group_name_Hall '-P 4 2'
loop_
_atom_site_label
_atom_site_type_symbol
_atom_site_fract_x
_atom_site_fract_y
_atom_site_fract_z
Ca1 Ca 0.000 0.000 0.000
Ti1 Ti 0.000 0.000 0.343
Rh1 Rh 0.500 0.500 0.212
Rh2 Rh 0.500 0.500 0.500

[9]
# PBE Ca3TiRh, optimized geometry
# - ΔE to the lowest computed polymorph: 75.39 kJ per mole of atoms
# - Energy of formation from the pure elements: 1.1783 eV per atom
# - Energy: -3.07 eV per atom
data_Ca3TiRh
_cell_length_a 5.502
_cell_length_b 5.502
_cell_length_c 5.502
_cell_angle_alpha 90.00
_cell_angle_beta 90.00
_cell_angle_gamma 90.00
_symmetry_space_group_name_H-M 'P m -3 m'
_symmetry_Int_Tables_number 221
_symmetry_space_group_name_Hall '-P 4 2 3'
loop_
_atom_site_label
_atom_site_type_symbol
_atom_site_fract_x
_atom_site_fract_y
_atom_site_fract_z
Ca1 Ca 0.000 0.000 0.500
Ti1 Ti 0.000 0.000 0.000
Rh1 Rh 0.500 0.500 0.500

[10]
# PBE CaTiRh3, optimized geometry
# - ΔE to the lowest computed polymorph: 0.00 kJ per mole of atoms
# - Energy of formation from the pure elements: -0.0781 eV per atom
# - Energy: -6.47 eV per atom
data_CaTiRh3
_cell_length_a 4.621
_cell_length_b 4.621
_cell_length_c 4.621
_cell_angle_alpha 90.00
_cell_angle_beta 90.00
_cell_angle_gamma 90.00
_symmetry_space_group_name_H-M 'P m -3 m'
_symmetry_Int_Tables_number 221
_symmetry_space_group_name_Hall '-P 4 2 3'
loop_
_atom_site_label
_atom_site_type_symbol
_atom_site_fract_x
_atom_site_fract_y
_atom_site_fract_z
Ca1 Ca 0.000 0.000 0.000
Ti1 Ti 0.500 0.500 0.500
Rh1 Rh 0.000 0.500 0.500

[11]
# PBE CaTi2Rh2, optimized geometry
# - ΔE to the lowest computed polymorph: 26.02 kJ per mole of atoms
# - Energy of formation from the pure elements: -0.3064 eV per atom
# - Energy: -6.81 eV per atom
data_CaTi2Rh2
_cell_length_a 4.467
_cell_length_b 4.467
_cell_length_c 10.043
_cell_angle_alpha 90.00
_cell_angle_beta 90.00
_cell_angle_gamma 90.00
_symmetry_space_group_name_H-M 'I 4/m m m'
_symmetry_Int_Tables_number 139
_symmetry_space_group_name_Hall '-I 4 2'
loop_
_atom_site_label
_atom_site_type_symbol
_atom_site_fract_x
_atom_site_fract_y
_atom_site_fract_z
Ca1 Ca 0.000 0.000 0.000
Ti1 Ti 0.000 0.000 0.361
Rh1 Rh 0.000 0.500 0.250

[12]
# PBE CaTi2Rh, optimized geometry
# - ΔE to the lowest computed polymorph: 1.84 kJ per mole of atoms
# - Energy of formation from the pure elements: 0.1167 eV per atom
# - Energy: -6.17 eV per atom
data_CaTi2Rh
_cell_length_a 6.580
_cell_length_b 6.580
_cell_length_c 6.580
_cell_angle_alpha 90.00
_cell_angle_beta 90.00
_cell_angle_gamma 90.00
_symmetry_space_group_name_H-M 'F m -3 m'
_symmetry_Int_Tables_number 225
_symmetry_space_group_name_Hall '-F 4 2 3'
loop_
_atom_site_label
_atom_site_type_symbol
_atom_site_fract_x
_atom_site_fract_y
_atom_site_fract_z
Ca1 Ca 0.000 0.000 0.000
Ti1 Ti 0.250 0.250 0.250
Rh1 Rh 0.000 0.000 0.500